Nd3Mg5H12: relaxed, PBE.

Properties
For the total energy, the calculation gives -3.3769 eV/atom. The value obtained for the volume is 978.3 Å³ per cell.

Cell and atoms, written as POSCAR:
```
Nd3Mg5H12
1.0
-6.254 6.254 6.254
6.254 -6.254 6.254
6.254 6.254 -6.254
Nd Mg H
12 20 48
Cartesian
3.127 1.563 0.000 Nd
6.254 3.127 -1.563 Nd
1.563 0.000 3.127 Nd
7.817 0.000 3.127 Nd
0.000 3.127 1.563 Nd
3.127 -1.563 6.254 Nd
3.127 7.817 0.000 Nd
6.254 3.127 4.690 Nd
-1.563 6.254 3.127 Nd
4.690 6.254 3.127 Nd
0.000 3.127 7.817 Nd
3.127 4.690 6.254 Nd
0.000 0.000 0.000 Mg
3.127 3.127 -3.127 Mg
3.127 -3.127 3.127 Mg
6.254 0.000 0.000 Mg
9.381 1.563 0.000 Mg
6.254 -3.127 4.690 Mg
4.690 6.254 -3.127 Mg
4.690 0.000 3.127 Mg
3.127 4.690 0.000 Mg
6.254 3.127 1.563 Mg
-3.127 3.127 3.127 Mg
0.000 6.254 0.000 Mg
0.000 0.000 6.254 Mg
3.127 3.127 3.127 Mg
0.000 3.127 4.690 Mg
3.127 1.563 6.254 Mg
1.563 6.254 3.127 Mg
1.563 0.000 9.381 Mg
0.000 9.381 1.563 Mg
-3.127 4.690 6.254 Mg
1.888 -0.278 0.769 H
7.493 3.896 -3.405 H
8.141 0.278 0.769 H
7.493 -2.358 3.405 H
5.975 -0.769 1.888 H
9.659 -1.239 2.358 H
0.769 1.888 -0.278 H
8.611 2.849 -1.239 H
3.896 3.405 -1.239 H
5.484 1.888 0.278 H
-0.278 0.769 1.888 H
3.405 -1.239 3.896 H
5.975 5.484 -1.888 H
3.405 1.239 2.358 H
3.896 -3.405 7.493 H
5.484 -1.888 5.975 H
2.358 3.405 1.239 H
7.023 4.366 0.278 H
3.405 7.493 -2.358 H
5.975 0.769 4.366 H
1.888 5.975 -0.769 H
7.493 2.358 2.849 H
1.239 2.358 3.405 H
1.888 0.278 5.484 H
4.366 5.975 0.769 H
5.014 3.896 2.849 H
-1.239 3.896 3.405 H
4.366 0.278 7.023 H
0.278 5.484 1.888 H
2.849 -1.239 8.611 H
-0.769 1.888 5.975 H
3.896 2.849 5.014 H
0.769 8.141 0.278 H
2.358 9.659 -1.239 H
2.849 5.014 3.896 H
0.278 0.769 8.141 H
2.849 7.493 2.358 H
6.532 5.484 4.366 H
0.769 4.366 5.975 H
2.358 2.849 7.493 H
-2.358 3.405 7.493 H
5.484 4.366 6.532 H
-3.405 7.493 3.896 H
0.278 7.023 4.366 H
-1.239 8.611 2.849 H
-1.888 5.975 5.484 H
-1.239 2.358 9.659 H
4.366 6.532 5.484 H
```